## YBe2In2O6 (PBE)

Data for a relaxed structure of YBe2In2O6.

a b c (Å): 5.3209 5.3209 6.4939
angles (deg): 90.00 90.00 120.00
Positions (direct):
Y 0.0000 0.0000 0.0000
Be 0.3333 0.6667 0.7884
Be 0.6667 0.3333 0.2116
In 0.3333 0.6667 0.3259
In 0.6667 0.3333 0.6741
O 0.0499 0.6815 0.7873
O 0.3185 0.3684 0.7873
O 0.3684 0.0499 0.2127
O 0.6316 0.9501 0.7873
O 0.6815 0.6316 0.2127
O 0.9501 0.3185 0.2127

Computed properties:
Energy relative to the elements, uncorrected (eV/f.u.): -23.0


## GaCo3H (PBE)

Data for a relaxed structure of GaCo3H.

a b c (Å): 6.6087 6.6087 4.4450
angles (deg): 90.00 90.00 138.23
Positions (direct):
Ga 0.1762 0.8238 0.7500
Ga 0.8238 0.1762 0.2500
Co 0.0000 0.0000 0.0000
Co 0.0000 0.0000 0.5000
Co 0.0973 0.4038 0.7500
Co 0.4038 0.0973 0.2500
Co 0.5962 0.9027 0.7500
Co 0.9027 0.5962 0.2500
H 0.4392 0.5608 0.7500
H 0.5608 0.4392 0.2500

Computed properties:
Offset from the most stable computed form (meV/atom): 485


## CuPb2Br5 (PBE)

Data for a relaxed structure of CuPb2Br5.

a b c (Å): 8.1014 8.1014 11.2056
angles (deg): 111.10 111.10 90.03
Positions (direct):
Cu 0.1222 0.8778 0.7500
Cu 0.8778 0.1222 0.2500
Pb 0.0000 0.5000 0.0000
Pb 0.5000 0.0000 0.5000
Pb 0.5000 0.5000 0.0000
Pb 0.5000 0.5000 0.5000
Br 0.1945 0.2015 0.4038
Br 0.1967 0.6974 0.8934
Br 0.2015 0.1945 0.9038
Br 0.3026 0.8033 0.6066
Br 0.3739 0.6261 0.2500
Br 0.6261 0.3739 0.7500
Br 0.6974 0.1967 0.3934
Br 0.7985 0.8055 0.0962
Br 0.8033 0.3026 0.1066
Br 0.8055 0.7985 0.5962

Computed properties:
Energy relative to the elements, uncorrected (eV/f.u.): -5.6


## CdSiO2F (PBE)

Data for a relaxed structure of CdSiO2F.

a b c (Å): 4.1817 4.1817 4.2414
angles (deg): 90.00 90.00 90.00
Positions (direct):
Cd 0.0000 0.0000 0.0000
Si 0.5000 0.5000 0.5000
O 0.0000 0.5000 0.0000
O 0.5000 0.0000 0.0000
F 0.0000 0.0000 0.5000

Computed properties:
Energy relative to the elements, uncorrected (eV/f.u.): -1.2


## RbGe3Pb (PBE)

Data for a relaxed structure of RbGe3Pb.

a b c (Å): 5.6344 5.6344 5.6344
angles (deg): 90.00 90.00 90.00
Positions (direct):
Rb 0.0000 0.0000 0.0000
Ge 0.0000 0.0000 0.5000
Ge 0.0000 0.5000 0.0000
Ge 0.5000 0.0000 0.0000
Pb 0.5000 0.5000 0.5000

Computed properties:
ΔH_f (0 K) (eV per atom): 1.486
Offset from the most stable computed form (meV/atom): 825


## K2La2Te (PBE)

Data for a relaxed structure of K2La2Te.

a b c (Å): 11.8154 11.8154 11.8154
angles (deg): 157.95 157.95 31.38
Positions (direct):
K 0.0741 0.0741 0.0000
K 0.9259 0.9259 0.0000
La 0.2500 0.7500 0.5000
La 0.7500 0.2500 0.5000
Te 0.5000 0.5000 0.0000

Computed properties:
Energy relative to the elements, uncorrected (eV/f.u.): 0.2
Offset from the most stable computed form (meV/atom): 0


no.,raw total energy (eV/atom)
1,-6.56
2,-5.16
3,-3.19
4,-3.86
5,-2.22
6,-3.00